(P)
TlGa2Hg2: PBEsol geometry, SCAN.

Geometry as CIF:
```
data_TlGa2Hg2
_space_group_name_H-M_alt 'I 4/m m m'
_space_group_IT_number 139
_space_group_name_Hall '-I 4 2'
_cell_length_a 4.146
_cell_length_b 4.146
_cell_length_c 13.330
_cell_angle_alpha 90.00
_cell_angle_beta 90.00
_cell_angle_gamma 90.00
loop_
_atom_site_label
_atom_site_fract_x
_atom_site_fract_y
_atom_site_fract_z
_atom_site_occupancy
Tl1 0.000 0.000 0.000 1
Ga1 0.000 0.500 0.250 1
Hg1 0.000 0.000 0.393 1
```

Results
Its density of states at the Fermi level is 1.61 states/eV/f.u. Its crystal system is tetragonal. As for the total magnetization: 0.00 Bohr magnetons per cell.

***

(Q)
TlGa2Hg2: PBEsol geometry, SCAN.

Geometry as CIF:
```
data_TlGa2Hg2
_space_group_name_H-M_alt 'P 4/m b m'
_space_group_IT_number 127
_space_group_name_Hall '-P 4 2ab'
_cell_length_a 8.440
_cell_length_b 8.440
_cell_length_c 3.168
_cell_angle_alpha 90.00
_cell_angle_beta 90.00
_cell_angle_gamma 90.00
loop_
_atom_site_label
_atom_site_fract_x
_atom_site_fract_y
_atom_site_fract_z
_atom_site_occupancy
Tl1 0.000 0.000 0.000 1
Ga1 0.144 0.356 0.500 1
Hg1 0.153 0.653 0.000 1
```

Results
Its density of states at the Fermi level is 1.94 states/eV/f.u. Its crystal system is tetragonal. As for the total magnetization: 0.00 Bohr magnetons per cell.

***

Stability comparison, relative energies in kJ/mol of atoms: (P) 0.0; (Q) 4.4

***

(P)
Ho5Ga3: PBEsol geometry, SCAN.

Geometry as CIF:
```
data_Ho5Ga3
_space_group_name_H-M_alt 'P 4/n c c'
_space_group_IT_number 130
_cell_length_a 7.457
_cell_length_b 7.457
_cell_length_c 13.876
_cell_angle_alpha 90.00
_cell_angle_beta 90.00
_cell_angle_gamma 90.00
loop_
_space_group_symop_operation_xyz
'x,y,z'
'-x,-y,-z'
'-y+1/2,x,z'
'y+1/2,-x,-z'
'-x+1/2,-y+1/2,z'
'x+1/2,y+1/2,-z'
'y,-x+1/2,z'
'-y,x+1/2,-z'
'x+1/2,-y,-z+1/2'
'-x+1/2,y,z+1/2'
'-y,-x,-z+1/2'
'y,x,z+1/2'
'-x,y+1/2,-z+1/2'
'x,-y+1/2,z+1/2'
'y+1/2,x+1/2,-z+1/2'
'-y+1/2,-x+1/2,z+1/2'
loop_
_atom_site_label
_atom_site_fract_x
_atom_site_fract_y
_atom_site_fract_z
_atom_site_occupancy
Ho1 0.068 0.594 0.102 1
Ho2 0.250 0.250 0.228 1
Ga1 0.127 0.627 0.750 1
Ga2 0.250 0.250 0.007 1
```

Results
Its density of states at the Fermi level is 5.05 states/eV/f.u. Its crystal system is tetragonal. As for the total magnetization: 0.00 Bohr magnetons per cell.

***

(Q)
Ho5Ga3: PBEsol geometry, SCAN.

Geometry as CIF:
```
data_Ho5Ga3
_space_group_name_H-M_alt 'P 63/m c m'
_space_group_IT_number 193
_space_group_name_Hall '-P 6c 2'
_cell_length_a 8.4137
_cell_length_b 8.4137
_cell_length_c 6.3845
_cell_angle_alpha 90.00
_cell_angle_beta 90.00
_cell_angle_gamma 120.00
loop_
_atom_site_label
_atom_site_fract_x
_atom_site_fract_y
_atom_site_fract_z
_atom_site_occupancy
Ho1 0.0000 0.2428 0.2500 1
Ho2 0.3333 0.6667 0.0000 1
Ga1 0.0000 0.4016 0.7500 1
```

Results
Its density of states at the Fermi level is 10.61 states/eV/f.u. Its crystal system is hexagonal. As for the total magnetization: 0.00 Bohr magnetons per cell.

***

Stability comparison, relative energies in kJ/mol of atoms: (P) 0.0; (Q) 3.3